CrPb2Se (SCAN, single point on PBEsol structure); space-group type = Cmmm, No. 65; density = 9692 kg/m³; E_form (uncorrected) = 0.10 eV/atom
1.0
3.4817 -3.7576 0.0000
3.4817 3.7576 0.0000
0.0000 0.0000 3.5710
Cr Pb Se
1 2 1
Direct
0.0000 0.0000 0.0000
0.0000 0.5000 0.5000
0.5000 0.0000 0.5000
0.5000 0.5000 0.0000